DFT (PBE) results for a relaxed KAcCdBr6 crystal.

Output
symmetry	No. 163
total DFT energy (no corrections)	-30.24	eV/f.u.
raw formation energy	-1.565	eV/atom
V	360.1	Å³/f.u.

a = 7.5944 Å, b = 7.5944 Å, c = 14.4202 Å
α = 90.00°, β = 90.00°, γ = 120.00°
Last column: nearest neighbours and their distance in Å.
Fractional positions:
Cd 0.6667 0.3333 0.2500  6 Br 2.83
Cd 0.3333 0.6667 0.7500  6 Br 2.83
Ac 0.6667 0.3333 0.7500  6 Br 3.05
Ac 0.3333 0.6667 0.2500  6 Br 3.05
Br 0.0223 0.3745 0.6345  1 Cd 2.83, 1 Ac 3.05
Br 0.3745 0.0223 0.1345  1 Cd 2.83, 1 Ac 3.05
Br 0.6255 0.6479 0.6345  1 Cd 2.83, 1 Ac 3.05
Br 0.9777 0.3521 0.1345  1 Cd 2.83, 1 Ac 3.05
Br 0.6479 0.0223 0.3655  1 Cd 2.83, 1 Ac 3.05
Br 0.3745 0.3521 0.3655  1 Cd 2.83, 1 Ac 3.05
Br 0.0223 0.6479 0.8655  1 Cd 2.83, 1 Ac 3.05
Br 0.3521 0.9777 0.6345  1 Cd 2.83, 1 Ac 3.05
Br 0.9777 0.6255 0.3655  1 Cd 2.83, 1 Ac 3.05
Br 0.6479 0.6255 0.1345  1 Cd 2.83, 1 Ac 3.05
Br 0.3521 0.3745 0.8655  1 Cd 2.83, 1 Ac 3.05
Br 0.6255 0.9777 0.8655  1 Cd 2.83, 1 Ac 3.05
K 0.0000 0.0000 0.5000  6 Br 3.38
K 0.0000 0.0000 0.0000  6 Br 3.38